The following is a DFT calculation (meta-GGA SCAN) of ZrCdI2 at its PBEsol-relaxed geometry.

The structure in extended XYZ format:
```
16
Lattice="7.3638 0.0000 0.0000 0.0000 7.3638 0.0000 0.0000 0.0000 7.3638" Properties=species:S:1:pos:R:3 pbc="T T T"
Zr 0.0000 0.0000 0.0000
Zr 0.0000 3.6819 3.6819
Zr 3.6819 0.0000 3.6819
Zr 3.6819 3.6819 0.0000
Cd 0.0000 0.0000 3.6819
Cd 0.0000 3.6819 0.0000
Cd 3.6819 0.0000 0.0000
Cd 3.6819 3.6819 3.6819
I 1.8409 1.8409 1.8409
I 1.8409 1.8409 5.5228
I 1.8409 5.5228 1.8409
I 1.8409 5.5228 5.5228
I 5.5228 1.8409 1.8409
I 5.5228 1.8409 5.5228
I 5.5228 5.5228 1.8409
I 5.5228 5.5228 5.5228
```

As for the space group: No. 225. The formation energy (no corrections) comes out at 31 meV per atom.

The following is a DFT calculation (meta-GGA SCAN) of BaRh2Cl at its PBEsol-relaxed geometry.

The structure in extended XYZ format:
```
8
Lattice="5.7055 0.0000 0.0000 0.0000 10.6388 0.0000 -1.7662 0.0000 2.6518" Properties=species:S:1:pos:R:3 pbc="T T T"
Ba 0.0000 0.0000 0.0000
Ba 2.8528 5.3194 0.0000
Rh 1.4264 2.6597 0.0000
Rh 1.4264 7.9791 0.0000
Rh 4.2792 2.6597 0.0000
Rh 4.2792 7.9791 0.0000
Cl 0.0000 5.3194 0.0000
Cl 2.8528 0.0000 0.0000
```

As for the space group: No. 12. The formation energy (no corrections) comes out at 13 meV per atom.

The following is a DFT calculation (meta-GGA SCAN) of LaHgAs4 at its PBEsol-relaxed geometry.

The structure in extended XYZ format:
```
6
Lattice="0.0000 4.0116 4.0116 4.0116 0.0000 4.0116 4.0116 4.0116 0.0000" Properties=species:S:1:pos:R:3 pbc="T T T"
La 0.0000 0.0000 0.0000
Hg 6.0174 6.0174 6.0174
As 3.0351 3.0351 3.0351
As 4.9882 4.9882 3.0351
As 4.9882 3.0351 4.9882
As 3.0351 4.9882 4.9882
```

For the formation energy, the calculation gives -0.365 eV per atom. As for the space group: No. 216.

The following is a DFT calculation (meta-GGA SCAN) of Dy2AlNi2 at its PBEsol-relaxed geometry.

The structure in extended XYZ format:
```
10
Lattice="4.1493 0.0000 0.0000 0.0000 5.2960 0.0000 0.0000 0.0000 8.1453" Properties=species:S:1:pos:R:3 pbc="T T T"
Dy 0.0000 0.0000 1.6488
Dy 0.0000 0.0000 6.4965
Dy 2.0746 2.6480 2.4239
Dy 2.0746 2.6480 5.7214
Al 0.0000 2.6480 0.0000
Al 2.0746 0.0000 4.0727
Ni 0.0000 1.4074 4.0727
Ni 0.0000 3.8885 4.0727
Ni 2.0746 1.2405 0.0000
Ni 2.0746 4.0554 0.0000
```

For the formation energy, the calculation gives -0.586 eV per atom. As for the space group: No. 71.

The following is a DFT calculation (meta-GGA SCAN) of InNi2H2 at its PBEsol-relaxed geometry.

The structure in extended XYZ format:
```
10
Lattice="3.1880 0.0000 0.0000 0.0000 3.1880 0.0000 0.0000 0.0000 8.8334" Properties=species:S:1:pos:R:3 pbc="T T T"
In 0.0000 0.0000 0.0000
In 1.5940 1.5940 4.4167
Ni 0.0000 0.0000 2.9327
Ni 0.0000 0.0000 5.9007
Ni 1.5940 1.5940 1.4840
Ni 1.5940 1.5940 7.3494
H 0.0000 1.5940 2.2084
H 0.0000 1.5940 6.6251
H 1.5940 0.0000 2.2084
H 1.5940 0.0000 6.6251
```

As for the space group: No. 139.

The following is a DFT calculation (meta-GGA SCAN) of ZnBiTe3 at its PBEsol-relaxed geometry.

The structure in extended XYZ format:
```
5
Lattice="5.2072 0.0000 0.0000 0.0000 5.2072 0.0000 0.0000 0.0000 5.2072" Properties=species:S:1:pos:R:3 pbc="T T T"
Zn 0.0000 0.0000 0.0000
Bi 2.6036 2.6036 2.6036
Te 0.0000 0.0000 2.6036
Te 0.0000 2.6036 0.0000
Te 2.6036 0.0000 0.0000
```

As for the space group: No. 221. The formation energy (no corrections) comes out at 346 meV per atom.

Results for spin magnetization: 7.16, 3.82, 0.00, 0.12, 0.00, 0.00 (in μB per cell, following the order of the records).
Results for VASP energy: -537.89, -230.03, -194.22, -277.24, -145.43, -202.12 (in eV for the cell shown, following the order of the records).